DFT (GGA-PBE) results for an optimized crystal structure of CsAgTe2.

Summary:
E_form (uncorrected) = -231 meV/atom
uncorrected energy = -2.73 eV/atom
ρ = 5656 kg/m3

```
data_CsAgTe2
_cell_length_a 4.3784
_cell_length_b 4.3784
_cell_length_c 26.3110
_cell_angle_alpha 90.00
_cell_angle_beta 90.00
_cell_angle_gamma 120.00
_symmetry_space_group_name_H-M 'R -3 m'
_symmetry_Int_Tables_number 166
_symmetry_space_group_name_Hall '-R 3 2"'
loop_
_atom_site_label
_atom_site_type_symbol
_atom_site_fract_x
_atom_site_fract_y
_atom_site_fract_z
_atom_site_occupancy
Cs1 Cs 0.0000 0.0000 0.0000 1
Ag1 Ag 0.0000 0.0000 0.5000 1
Te1 Te 0.0000 0.0000 0.2225 1
```